1.
## MnTcPt2 (PBE)

Data for crystalline MnTcPt2 at its relaxed geometry.

Computed properties:
Relative energy among the computed polymorphs ... 1159 meV per atom
Calculated total energy ... -55.757 eV per cell
E_form ... 0.935 eV/atom

Lattice parameters (Å, degrees): 6.779 6.779 6.779 132.72 132.72 69.09
Fractional positions:
Mn 0.000 0.000 0.000
Mn 0.750 0.250 0.500
Tc 0.250 0.750 0.500
Tc 0.500 0.500 0.000
Pt 0.107 0.625 0.982
Pt 0.375 0.357 0.482
Pt 0.643 0.125 0.018
Pt 0.875 0.893 0.518

2.
## Mn2TcPt (PBE)

Data for crystalline Mn2TcPt at its relaxed geometry.

Computed properties:
Relative energy among the computed polymorphs ... 106 meV per atom
Calculated total energy ... -34.816 eV per cell
E_form ... -0.018 eV/atom

Lattice parameters (Å, degrees): 4.587 4.587 2.659 90.00 90.00 107.80
Fractional positions:
Mn 0.000 0.500 0.000
Mn 0.500 0.000 0.000
Tc 0.000 0.000 0.500
Pt 0.500 0.500 0.500

- Look up the relative energy among the computed polymorphs of the second one.
  106 meV per atom